[1]
# SrHo4S5, relaxed, DFT PBE
# Formation energy without anion corrections in meV per atom: -1970
# Energy in eV per cell: -120.7
# Magnetic moment in μB per formula unit: 0.0
# Density of states at the Fermi level in states/eV per atom: 0.365
data_SrHo4S5
_chemical_formula_sum 'Sr2 Ho8 S10'
_space_group_name_H-M_alt 'I m m m'
_space_group_IT_number 71
_space_group_name_Hall '-I 2 2'
_cell_length_a 3.953
_cell_length_b 5.578
_cell_length_c 19.775
_cell_angle_alpha 90.00
_cell_angle_beta 90.00
_cell_angle_gamma 90.00
loop_
_atom_site_label
_atom_site_fract_x
_atom_site_fract_y
_atom_site_fract_z
Sr1 0.000 0.000 0.000
Ho1 0.000 0.000 0.205
Ho2 0.000 0.000 0.397
S1 0.000 0.500 0.000
S2 0.000 0.500 0.199
S3 0.000 0.500 0.392

[2]
# SrHoS, relaxed, DFT PBE
# Formation energy without anion corrections in meV per atom: -584
# Energy in eV per cell: -24.3
# Magnetic moment in μB per formula unit: 0.0
# Density of states at the Fermi level in states/eV per atom: 1.106
data_SrHoS
_chemical_formula_sum 'Sr2 Ho2 S2'
_space_group_name_H-M_alt 'A m m 2'
_space_group_IT_number 38
_space_group_name_Hall 'A 2 -2'
_cell_length_a 3.834
_cell_length_b 7.933
_cell_length_c 8.058
_cell_angle_alpha 90.00
_cell_angle_beta 90.00
_cell_angle_gamma 90.00
loop_
_atom_site_label
_atom_site_fract_x
_atom_site_fract_y
_atom_site_fract_z
Sr1 0.000 0.000 0.000
Ho1 0.000 0.000 0.506
S1 0.500 0.000 0.724

[3]
# Sr3HoS4, relaxed, DFT PBE
# Formation energy without anion corrections in meV per atom: -2065
# Energy in eV per cell: -85.3
# Magnetic moment in μB per formula unit: 0.0
# Density of states at the Fermi level in states/eV per atom: 0.341
data_Sr3HoS4
_chemical_formula_sum 'Sr6 Ho2 S8'
_space_group_name_H-M_alt 'C m m m'
_space_group_IT_number 65
_space_group_name_Hall '-C 2 2'
_cell_length_a 8.370
_cell_length_b 11.778
_cell_length_c 4.146
_cell_angle_alpha 90.00
_cell_angle_beta 90.00
_cell_angle_gamma 90.00
loop_
_atom_site_label
_atom_site_fract_x
_atom_site_fract_y
_atom_site_fract_z
Sr1 0.000 0.000 0.000
Sr2 0.250 0.250 0.500
Ho1 0.000 0.500 0.000
S1 0.000 0.261 0.000
S2 0.232 0.500 0.500